(1)
A relaxed KTbPr crystal, computed with GGA-PBE.

Structure (CIF):
```
data_KTbPr
_chemical_formula_sum 'K4 Tb4 Pr4'
_cell_length_a 8.384
_cell_length_b 8.384
_cell_length_c 8.384
_cell_angle_alpha 90.00
_cell_angle_beta 90.00
_cell_angle_gamma 90.00
_space_group_name_H-M_alt 'F -4 3 m'
_space_group_IT_number 216
_space_group_name_Hall 'F -4 2 3'
loop_
_atom_site_label
_atom_site_fract_x
_atom_site_fract_y
_atom_site_fract_z
K1 0.000 0.000 0.000
Tb1 0.000 0.000 0.500
Pr1 0.250 0.250 0.250
```

Distance to the lowest polymorph of the same formula ... 0 meV per atom
Spin magnetization ... 2.38 μB/f.u.



(2)
A relaxed NiAgWAu crystal, computed with GGA-PBE.

Structure (CIF):
```
data_NiAgWAu
_chemical_formula_sum 'Ni4 Ag4 W4 Au4'
_cell_length_a 6.262
_cell_length_b 6.262
_cell_length_c 6.262
_cell_angle_alpha 90.00
_cell_angle_beta 90.00
_cell_angle_gamma 90.00
_space_group_name_H-M_alt 'F -4 3 m'
_space_group_IT_number 216
_space_group_name_Hall 'F -4 2 3'
loop_
_atom_site_label
_atom_site_fract_x
_atom_site_fract_y
_atom_site_fract_z
Ni1 0.000 0.000 0.000
Ag1 0.000 0.000 0.500
W1 0.250 0.250 0.250
Au1 0.250 0.250 0.750
```

Distance to the lowest polymorph of the same formula ... 53 meV per atom
Spin magnetization ... 0.00 μB/f.u.



(3)
A relaxed PmSbCl2O2 crystal, computed with GGA-PBE.

Structure (CIF):
```
data_PmSbCl2O2
_chemical_formula_sum 'Pm1 Sb1 Cl2 O2'
_cell_length_a 3.894
_cell_length_b 3.894
_cell_length_c 7.021
_cell_angle_alpha 90.00
_cell_angle_beta 90.00
_cell_angle_gamma 90.00
_space_group_name_H-M_alt 'P 4 m m'
_space_group_IT_number 99
loop_
_space_group_symop_operation_xyz
'x,y,z'
'-y,x,z'
'-x,-y,z'
'y,-x,z'
'-x,y,z'
'y,x,z'
'x,-y,z'
'-y,-x,z'
loop_
_atom_site_label
_atom_site_fract_x
_atom_site_fract_y
_atom_site_fract_z
Pm1 0.000 0.000 0.000
Sb1 0.500 0.500 0.654
Cl1 0.000 0.000 0.427
Cl2 0.500 0.500 0.157
O1 0.000 0.500 0.808
```

Spin magnetization ... 0.00 μB/f.u.



(4)
A relaxed ScCdCuS3 crystal, computed with GGA-PBE.

Structure (CIF):
```
data_ScCdCuS3
_chemical_formula_sum 'Sc2 Cd2 Cu2 S6'
_cell_length_a 7.226
_cell_length_b 3.698
_cell_length_c 8.692
_cell_angle_alpha 90.00
_cell_angle_beta 102.34
_cell_angle_gamma 90.00
_space_group_name_H-M_alt 'P 1 21/m 1'
_space_group_IT_number 11
loop_
_space_group_symop_operation_xyz
'x,y,z'
'-x,-y,-z'
'-x,y+1/2,-z'
'x,-y+1/2,z'
loop_
_atom_site_label
_atom_site_fract_x
_atom_site_fract_y
_atom_site_fract_z
Sc1 0.184 0.250 0.171
Cd1 0.276 0.750 0.724
Cu1 0.407 0.750 0.415
S1 0.082 0.250 0.858
S2 0.236 0.250 0.474
S3 0.423 0.750 0.154
```

Distance to the lowest polymorph of the same formula ... 0 meV per atom
Spin magnetization ... 0.00 μB/f.u.



(5)
A relaxed Gd5Er2Lu crystal, computed with GGA-PBE.

Structure (CIF):
```
data_Gd5Er2Lu
_chemical_formula_sum 'Gd10 Er4 Lu2'
_cell_length_a 5.639
_cell_length_b 7.210
_cell_length_c 12.468
_cell_angle_alpha 90.00
_cell_angle_beta 90.00
_cell_angle_gamma 90.00
_space_group_name_H-M_alt 'A m m 2'
_space_group_IT_number 38
loop_
_space_group_symop_operation_xyz
'x,y,z'
'-x,-y,z'
'-x,y,z'
'x,-y,z'
'x,y+1/2,z+1/2'
'-x,-y+1/2,z+1/2'
'-x,y+1/2,z+1/2'
'x,-y+1/2,z+1/2'
loop_
_atom_site_label
_atom_site_fract_x
_atom_site_fract_y
_atom_site_fract_z
Gd1 0.000 0.000 0.000
Gd2 0.000 0.249 0.751
Gd3 0.500 0.250 0.083
Er1 0.000 0.000 0.500
Er2 0.500 0.000 0.834
Lu1 0.500 0.000 0.334
```

Spin magnetization ... 0.03 μB/f.u.



(6)
A relaxed NdPO4 crystal, computed with GGA-PBE.

Structure (CIF):
```
data_NdPO4
_chemical_formula_sum 'Nd3 P3 O12'
_cell_length_a 7.0410
_cell_length_b 7.0410
_cell_length_c 6.3420
_cell_angle_alpha 90.00
_cell_angle_beta 90.00
_cell_angle_gamma 120.00
_space_group_name_H-M_alt 'P 62 2 2'
_space_group_IT_number 180
_space_group_name_Hall 'P 62 2 (0 0 4)'
loop_
_atom_site_label
_atom_site_fract_x
_atom_site_fract_y
_atom_site_fract_z
Nd1 0.0000 0.5000 0.1667
P1 0.0000 0.5000 0.6667
O1 0.1367 0.4426 0.8164
```

Spin magnetization ... 0.00 μB/f.u.



(7)
A relaxed RbTaNO crystal, computed with GGA-PBE.

Structure (CIF):
```
data_RbTaNO
_chemical_formula_sum 'Rb2 Ta2 N2 O2'
_cell_length_a 4.335
_cell_length_b 4.335
_cell_length_c 7.772
_cell_angle_alpha 90.00
_cell_angle_beta 90.00
_cell_angle_gamma 90.00
_space_group_name_H-M_alt 'P 4/n m m'
_space_group_IT_number 129
loop_
_space_group_symop_operation_xyz
'x,y,z'
'-x,-y,-z'
'-y+1/2,x,z'
'y+1/2,-x,-z'
'-x+1/2,-y+1/2,z'
'x+1/2,y+1/2,-z'
'y,-x+1/2,z'
'-y,x+1/2,-z'
'x+1/2,-y,-z'
'-x+1/2,y,z'
'-y,-x,-z'
'y,x,z'
'-x,y+1/2,-z'
'x,-y+1/2,z'
'y+1/2,x+1/2,-z'
'-y+1/2,-x+1/2,z'
loop_
_atom_site_label
_atom_site_fract_x
_atom_site_fract_y
_atom_site_fract_z
Rb1 0.250 0.750 0.000
Ta1 0.250 0.250 0.446
N1 0.250 0.250 0.217
O1 0.250 0.750 0.500
```

Distance to the lowest polymorph of the same formula ... 374 meV per atom
Spin magnetization ... 0.00 μB/f.u.



(8)
A relaxed Gd3Tl3Pb4 crystal, computed with GGA-PBE.

Structure (CIF):
```
data_Gd3Tl3Pb4
_chemical_formula_sum 'Gd6 Tl6 Pb8'
_cell_length_a 4.743
_cell_length_b 24.656
_cell_length_c 4.798
_cell_angle_alpha 90.00
_cell_angle_beta 90.00
_cell_angle_gamma 90.00
_space_group_name_H-M_alt 'C m m m'
_space_group_IT_number 65
_space_group_name_Hall '-C 2 2'
loop_
_atom_site_label
_atom_site_fract_x
_atom_site_fract_y
_atom_site_fract_z
Gd1 0.000 0.000 0.000
Gd2 0.000 0.191 0.000
Tl1 0.000 0.293 0.500
Tl2 0.000 0.500 0.500
Pb1 0.000 0.099 0.500
Pb2 0.000 0.402 0.000
```

Distance to the lowest polymorph of the same formula ... 32 meV per atom
Spin magnetization ... 0.01 μB/f.u.



VASP energy for the records above, in order: -28.23 -89.62 -35.06 -58.07 -73.67 -143.53 -59.61 -78.01 eV for the cell shown